No. 1
DFT (PBE) results for a relaxed TbAlSe crystal.

abc: 4.5046 4.5046 25.9479
angles: 90.00 90.00 120.00
Space group R-3m (No. 166, hexagonal axes)
Asymmetric unit:
Tb1 0.0000 0.0000 0.0832 (multiplicity 6)
Al1 0.0000 0.0000 0.3340 (multiplicity 6)
Se1 0.0000 0.0000 0.2095 (multiplicity 6)

Formation energy (no corrections) (eV/atom): -0.951

No. 2
DFT (PBE) results for a relaxed MgAl2Ru crystal.

abc: 5.426 8.577 2.840
angles: 90.00 109.66 90.00
Space group C2/m (No. 12)
Asymmetric unit:
Mg1 0.000 0.000 0.000 (multiplicity 2)
Al1 0.250 0.250 0.500 (multiplicity 4)
Ru1 0.000 0.500 0.000 (multiplicity 2)

VASP energy (eV per atom): -4.69

No. 3
DFT (PBE) results for a relaxed Pm5Tm5Sc2 crystal.

abc: 14.923 4.954 11.166
angles: 90.00 116.56 90.00
Space group C2/m (No. 12)
Asymmetric unit:
Pm1 0.000 0.000 0.000 (multiplicity 2)
Pm2 0.082 0.000 0.751 (multiplicity 4)
Pm3 0.166 0.000 0.499 (multiplicity 4)
Tm1 0.000 0.500 0.500 (multiplicity 2)
Tm2 0.166 0.500 0.001 (multiplicity 4)
Tm3 0.246 0.000 0.247 (multiplicity 4)
Sc1 0.084 0.500 0.249 (multiplicity 4)

VASP energy (eV per atom): -4.86

No. 4
DFT (PBE) results for a relaxed La2Pd4Au3 crystal.

abc: 5.694 16.826 7.800
angles: 90.00 90.00 90.00
Space group Cmce (No. 64)
Asymmetric unit:
La1 0.000 0.112 0.078 (multiplicity 8)
Pd1 0.000 0.163 0.483 (multiplicity 8)
Pd2 0.250 0.073 0.750 (multiplicity 8)
Au1 0.000 0.000 0.500 (multiplicity 4)
Au2 0.250 0.240 0.750 (multiplicity 8)

VASP energy (eV per atom): -5.17

No. 5
DFT (PBE) results for a relaxed PrSmS3 crystal.

abc: 7.933 4.033 8.026
angles: 90.00 93.84 90.00
Space group P2_1/m (No. 11)
Asymmetric unit:
Pr1 0.232 0.250 0.380 (multiplicity 2)
Sm1 0.318 0.250 0.855 (multiplicity 2)
S1 0.019 0.250 0.677 (multiplicity 2)
S2 0.320 0.750 0.102 (multiplicity 2)
S3 0.385 0.750 0.625 (multiplicity 2)

Formation energy (no corrections) (eV/atom): -2.031
ΔE to the lowest computed polymorph (eV/atom): 0.043

No. 6
DFT (PBE) results for a relaxed CuPt crystal.

abc: 8.935 8.092 4.713
angles: 90.00 99.55 90.00
Space group Cc (No. 9)
Asymmetric unit:
Cu1 0.000 0.079 0.000 (multiplicity 4)
Cu2 0.242 0.083 0.750 (multiplicity 4)
Cu3 0.498 0.252 0.010 (multiplicity 4)
Pt1 0.243 0.240 0.249 (multiplicity 4)
Pt2 0.255 0.413 0.755 (multiplicity 4)
Pt3 0.492 0.087 0.509 (multiplicity 4)

VASP energy (eV per atom): -5.19

No. 7
DFT (PBE) results for a relaxed TlGa2Sb crystal.

abc: 4.795 4.795 4.355
angles: 90.00 90.00 90.00
Space group P4/mmm (No. 123)
Asymmetric unit:
Tl1 0.000 0.000 0.000 (multiplicity 1)
Ga1 0.000 0.500 0.500 (multiplicity 2)
Sb1 0.500 0.500 0.000 (multiplicity 1)

Formation energy (no corrections) (eV/atom): 0.089
ΔE to the lowest computed polymorph (eV/atom): 0.029

No. 8
DFT (PBE) results for a relaxed Ta2HRu crystal.

abc: 6.142 6.142 6.142
angles: 90.00 90.00 90.00
Space group Fm-3m (No. 225)
Asymmetric unit:
Ta1 0.250 0.250 0.250 (multiplicity 8)
H1 0.000 0.000 0.000 (multiplicity 4)
Ru1 0.000 0.000 0.500 (multiplicity 4)

ΔE to the lowest computed polymorph (eV/atom): 0.430

Respective spin magnetization values: 0.00; 0.47; 0.00; 0.00; 0.00; 0.00; 0.00; 0.00 μB/f.u..